1.
This record from the Alexandria database describes LaMgCdGa2 after structural relaxation. The functional is GGA-PBE.

Computed properties:
space-group type = I-4m2, No. 119
total energy = -3.177 eV per atom
energy relative to the elements = -0.48 eV per atom

Unit cell a=6.6076 b=6.6076 c=6.6076 alpha=140.87 beta=140.87 gamma=56.54
With the nearest neighbours (Å) after each atom.
Positions (direct):
La (0.0000, 0.0000, 0.0000)  8 Ga 3.37, 4 Cd 3.66, 4 Mg 3.66
Mg (0.2500, 0.7500, 0.5000)  4 Ga 2.77
Cd (0.7500, 0.2500, 0.5000)  4 Ga 2.77
Ga (0.3936, 0.3936, 0.0000)  1 Ga 2.48, 2 Cd 2.77, 2 Mg 2.77
Ga (0.6064, 0.6064, 0.0000)  1 Ga 2.48, 2 Cd 2.77, 2 Mg 2.77

***

2.
This record from the Alexandria database describes NaLaCdGa after structural relaxation. The functional is GGA-PBE.

Computed properties:
space-group type = F-43m, No. 216
total energy = -2.818 eV per atom
energy relative to the elements = -0.27 eV per atom

Unit cell a=5.2857 b=5.2857 c=5.2857 alpha=60.00 beta=60.00 gamma=60.00
With the nearest neighbours (Å) after each atom.
Positions (direct):
Na (0.0000, 0.0000, 0.0000)  4 Cd 3.24, 4 Ga 3.24
La (0.5000, 0.5000, 0.5000)  4 Cd 3.24, 4 Ga 3.24
Cd (0.7500, 0.7500, 0.7500)  4 La 3.24, 4 Na 3.24
Ga (0.2500, 0.2500, 0.2500)  4 La 3.24, 4 Na 3.24

***

3.
This record from the Alexandria database describes LaNdCdGa after structural relaxation. The functional is GGA-PBE.

Computed properties:
space-group type = F-43m, No. 216
total energy = -3.842 eV per atom
energy relative to the elements = -0.43 eV per atom

Unit cell a=5.4026 b=5.4026 c=5.4026 alpha=60.00 beta=60.00 gamma=60.00
With the nearest neighbours (Å) after each atom.
Positions (direct):
La (0.0000, 0.0000, 0.0000)  4 Cd 3.31, 4 Ga 3.31
Nd (0.5000, 0.5000, 0.5000)  4 Cd 3.31, 4 Ga 3.31
Cd (0.7500, 0.7500, 0.7500)  4 Nd 3.31, 4 La 3.31
Ga (0.2500, 0.2500, 0.2500)  4 Nd 3.31, 4 La 3.31

***

4.
This record from the Alexandria database describes La2CdGa3Ni4 after structural relaxation. The functional is GGA-PBE.

Computed properties:
space-group type = P-4m2, No. 115
total energy = -4.760 eV per atom
energy relative to the elements = -0.46 eV per atom

Unit cell a=4.2929 b=4.2929 c=9.9974 alpha=90.00 beta=90.00 gamma=90.00
With the nearest neighbours (Å) after each atom.
Positions (direct):
La (0.0000, 0.5000, 0.2355)  8 Ni 3.19-3.25, 7 Ga 3.28-3.47, 2 Cd 3.41
La (0.5000, 0.0000, 0.7645)  8 Ni 3.19-3.25, 7 Ga 3.28-3.47, 2 Cd 3.41
Cd (0.0000, 0.0000, 0.5000)  4 Ni 2.60
Ga (0.0000, 0.5000, 0.8882)  5 Ni 2.41-2.42
Ga (0.5000, 0.0000, 0.1118)  5 Ni 2.41-2.42
Ga (0.5000, 0.5000, 0.5000)  4 Ni 2.60
Ni (0.0000, 0.0000, 0.0000)  4 Ga 2.42
Ni (0.0000, 0.5000, 0.6471)  3 Ga 2.41-2.60, 2 Cd 2.60
Ni (0.5000, 0.0000, 0.3529)  3 Ga 2.41-2.60, 2 Cd 2.60
Ni (0.5000, 0.5000, 0.0000)  4 Ga 2.42

***

5.
This record from the Alexandria database describes La2CdGaNi after structural relaxation. The functional is GGA-PBE.

Computed properties:
space-group type = P4/mmm, No. 123
total energy = -4.264 eV per atom
energy relative to the elements = -0.35 eV per atom

Unit cell a=5.4617 b=5.4617 c=4.5667 alpha=90.00 beta=90.00 gamma=90.00
With the nearest neighbours (Å) after each atom.
Positions (direct):
La (0.0000, 0.5000, 0.0000)  2 Ni 2.73
La (0.5000, 0.0000, 0.0000)  2 Ni 2.73
Cd (0.0000, 0.0000, 0.5000)  8 La 3.56, 4 Ga 3.86
Ga (0.5000, 0.5000, 0.5000)  2 Ni 2.28
Ni (0.5000, 0.5000, 0.0000)  2 Ga 2.28

***

6.
This record from the Alexandria database describes LaCdGaO4 after structural relaxation. The functional is GGA-PBE.

Computed properties:
raw formation energy = -2.16 eV per atom
space-group type = Cmcm, No. 63
total energy = -6.261 eV per atom

Unit cell a=5.7696 b=5.7696 c=7.1534 alpha=90.00 beta=90.00 gamma=114.31
With the nearest neighbours (Å) after each atom.
Positions (direct):
La (0.0000, 0.0000, 0.0000)  6 O 2.39-2.45
La (0.0000, 0.0000, 0.5000)  6 O 2.39-2.45
Cd (0.3320, 0.6680, 0.7500)  4 O 2.21-2.34
Cd (0.6680, 0.3320, 0.2500)  4 O 2.21-2.34
Ga (0.3531, 0.6469, 0.2500)  4 O 1.86-1.91
Ga (0.6469, 0.3531, 0.7500)  4 O 1.86-1.91
O (0.2450, 0.2866, 0.2500)  1 Ga 1.91
O (0.2449, 0.7551, 0.0354)  1 Ga 1.86
O (0.2449, 0.7551, 0.4646)  1 Ga 1.86
O (0.2866, 0.2450, 0.7500)  1 Ga 1.91
O (0.7134, 0.7550, 0.2500)  1 Ga 1.91
O (0.7551, 0.2449, 0.5354)  1 Ga 1.86
O (0.7551, 0.2449, 0.9646)  1 Ga 1.86
O (0.7550, 0.7134, 0.7500)  1 Ga 1.91

***

7.
This record from the Alexandria database describes La4CdGaO after structural relaxation. The functional is GGA-PBE.

Computed properties:
raw formation energy = -1.01 eV per atom
space-group type = Cmcm, No. 63
total energy = -5.094 eV per atom

Unit cell a=8.8029 b=8.8029 c=7.0563 alpha=90.00 beta=90.00 gamma=132.89
With the nearest neighbours (Å) after each atom.
Positions (direct):
La (0.0000, 0.5000, 0.0000)  2 O 2.49
La (0.0000, 0.5000, 0.5000)  2 O 2.49
La (0.0688, 0.9312, 0.7500)  1 O 2.96, 1 Ga 3.08
La (0.4192, 0.5808, 0.7500)  1 O 2.70
La (0.5000, 0.0000, 0.0000)  2 O 2.49
La (0.5000, 0.0000, 0.5000)  2 O 2.49
La (0.5808, 0.4192, 0.2500)  1 O 2.70
La (0.9312, 0.0688, 0.2500)  1 O 2.96, 1 Ga 3.08
Cd (0.3854, 0.6146, 0.2500)  5 La 3.15-3.31
Cd (0.6146, 0.3854, 0.7500)  5 La 3.15-3.31
Ga (0.1221, 0.8779, 0.2500)  5 La 3.08-3.24
Ga (0.8779, 0.1221, 0.7500)  5 La 3.08-3.24
O (0.2522, 0.7478, 0.7500)  5 La 2.49-2.70
O (0.7478, 0.2522, 0.2500)  5 La 2.49-2.70

***

8.
This record from the Alexandria database describes LaCdGaPb after structural relaxation. The functional is GGA-PBE.

Computed properties:
space-group type = F-43m, No. 216
total energy = -3.427 eV per atom
energy relative to the elements = -0.28 eV per atom

Unit cell a=5.3327 b=5.3327 c=5.3327 alpha=60.00 beta=60.00 gamma=60.00
With the nearest neighbours (Å) after each atom.
Positions (direct):
La (0.0000, 0.0000, 0.0000)  4 Ga 3.27, 4 Cd 3.27
Cd (0.2500, 0.2500, 0.2500)  4 La 3.27, 4 Pb 3.27
Ga (0.7500, 0.7500, 0.7500)  4 La 3.27, 4 Pb 3.27
Pb (0.5000, 0.5000, 0.5000)  4 Ga 3.27, 4 Cd 3.27

***

9.
This record from the Alexandria database describes LaCdGa2Pd2 after structural relaxation. The functional is GGA-PBE.

Computed properties:
space-group type = P-3m1, No. 164
total energy = -4.363 eV per atom
energy relative to the elements = -0.65 eV per atom

Unit cell a=4.4779 b=4.4779 c=7.0089 alpha=90.00 beta=90.00 gamma=120.00
With the nearest neighbours (Å) after each atom.
Positions (direct):
La (0.0000, 0.0000, 0.0000)  6 Ga 3.24, 6 Pd 3.44, 2 Cd 3.50
Cd (0.0000, 0.0000, 0.5000)  6 Pd 2.86, 6 Ga 3.01
Ga (0.3333, 0.6667, 0.7210)  4 Pd 2.60-2.78
Ga (0.6667, 0.3333, 0.2790)  4 Pd 2.60-2.78
Pd (0.3333, 0.6667, 0.3245)  4 Ga 2.60-2.78, 3 Cd 2.86
Pd (0.6667, 0.3333, 0.6755)  4 Ga 2.60-2.78, 3 Cd 2.86

***

10.
This record from the Alexandria database describes La2CdGa2Pd5 after structural relaxation. The functional is GGA-PBE.

Computed properties:
space-group type = P4/mbm, No. 127
total energy = -4.947 eV per atom
energy relative to the elements = -0.67 eV per atom

Unit cell a=10.2924 b=10.2924 c=3.7238 alpha=90.00 beta=90.00 gamma=90.00
With the nearest neighbours (Å) after each atom.
Positions (direct):
La (0.1788, 0.3212, 0.0000)  3 Ga 2.94-3.13, 6 Pd 3.20-3.28
La (0.3212, 0.8212, 0.0000)  3 Ga 2.94-3.13, 6 Pd 3.20-3.28
La (0.6788, 0.1788, 0.0000)  3 Ga 2.94-3.13, 6 Pd 3.20-3.28
La (0.8212, 0.6788, 0.0000)  3 Ga 2.94-3.13, 6 Pd 3.20-3.28
Cd (0.0000, 0.0000, 0.0000)  8 Pd 2.94
Cd (0.5000, 0.5000, 0.0000)  8 Pd 2.94
Ga (0.1194, 0.6194, 0.0000)  6 Pd 2.55-2.61
Ga (0.3806, 0.1194, 0.0000)  6 Pd 2.55-2.61
Ga (0.6194, 0.8806, 0.0000)  6 Pd 2.55-2.61
Ga (0.8806, 0.3806, 0.0000)  6 Pd 2.55-2.61
Pd (0.0000, 0.5000, 0.5000)  4 Ga 2.55
Pd (0.0616, 0.7873, 0.5000)  2 Ga 2.61
Pd (0.2127, 0.0616, 0.5000)  2 Ga 2.61
Pd (0.2873, 0.5616, 0.5000)  2 Ga 2.61
Pd (0.4384, 0.2873, 0.5000)  2 Ga 2.61
Pd (0.5000, 0.0000, 0.5000)  4 Ga 2.55
Pd (0.5616, 0.7127, 0.5000)  2 Ga 2.61
Pd (0.7127, 0.4384, 0.5000)  2 Ga 2.61
Pd (0.7873, 0.9384, 0.5000)  2 Ga 2.61
Pd (0.9384, 0.2127, 0.5000)  2 Ga 2.61

***

Question: total energy of number 3 (LaNdCdGa)?
Answer: -3.842 eV per atom

***

Repeat the first record exactly.
This record from the Alexandria database describes LaMgCdGa2 after structural relaxation. The functional is GGA-PBE.

Computed properties:
space-group type = I-4m2, No. 119
total energy = -3.177 eV per atom
energy relative to the elements = -0.48 eV per atom

Unit cell a=6.6076 b=6.6076 c=6.6076 alpha=140.87 beta=140.87 gamma=56.54
With the nearest neighbours (Å) after each atom.
Positions (direct):
La (0.0000, 0.0000, 0.0000)  8 Ga 3.37, 4 Cd 3.66, 4 Mg 3.66
Mg (0.2500, 0.7500, 0.5000)  4 Ga 2.77
Cd (0.7500, 0.2500, 0.5000)  4 Ga 2.77
Ga (0.3936, 0.3936, 0.0000)  1 Ga 2.48, 2 Cd 2.77, 2 Mg 2.77
Ga (0.6064, 0.6064, 0.0000)  1 Ga 2.48, 2 Cd 2.77, 2 Mg 2.77

***

Question: Number 7 is which compound?
Answer: La4CdGaO